MnSb3P, optimized geometry, DFT GGA-PBE; uncorrected formation energy = 0.55 eV/atom; M_tot = 0.00 μB per atom; SG = Pm-3m (221)
1.0
4.8778 0.0000 0.0000
0.0000 4.8778 0.0000
0.0000 0.0000 4.8778
Mn Sb P
1 3 1
direct
0.0000 0.0000 0.0000
0.0000 0.0000 0.5000
0.0000 0.5000 0.0000
0.5000 0.0000 0.0000
0.5000 0.5000 0.5000